1.
PBE Ni2PdPt9, relaxed; DFT formation energy = -1.37 kcal/mol of atoms
1.0
3.9107 0.0000 0.0000
0.0000 3.9107 0.0000
0.0000 0.0000 11.7505
Ni Pd Pt
2 1 9
Direct
0.0000 0.0000 0.1637 Ni
0.0000 0.0000 0.8363 Ni
0.0000 0.0000 0.5000 Pd
0.0000 0.5000 0.0000 Pt
0.0000 0.5000 0.3265 Pt
0.0000 0.5000 0.6735 Pt
0.5000 0.0000 0.0000 Pt
0.5000 0.0000 0.3265 Pt
0.5000 0.0000 0.6735 Pt
0.5000 0.5000 0.1633 Pt
0.5000 0.5000 0.5000 Pt
0.5000 0.5000 0.8367 Pt



2.
PBE NiPd12Pt7, relaxed; DFT formation energy = 2.03 kcal/mol of atoms
1.0
5.8184 3.3592 2.7212
-5.8184 3.3592 2.7212
0.0000 -6.7185 2.7212
Ni Pd Pt
1 12 7
Direct
0.0000 0.0000 0.0000 Ni
0.0346 0.3062 0.4147 Pd
0.2284 0.6618 0.3651 Pd
0.3062 0.4147 0.0346 Pd
0.3382 0.6349 0.7716 Pd
0.3651 0.2284 0.6618 Pd
0.4147 0.0346 0.3062 Pd
0.5853 0.9654 0.6938 Pd
0.6349 0.7716 0.3382 Pd
0.6618 0.3651 0.2284 Pd
0.6938 0.5853 0.9654 Pd
0.7716 0.3382 0.6349 Pd
0.9654 0.6938 0.5853 Pd
0.0197 0.9055 0.3188 Pt
0.0945 0.6812 0.9803 Pt
0.3188 0.0197 0.9055 Pt
0.5000 0.5000 0.5000 Pt
0.6812 0.9803 0.0945 Pt
0.9055 0.3188 0.0197 Pt
0.9803 0.0945 0.6812 Pt



3.
PBE Ni6Pd5Pt, relaxed; DFT formation energy = 0.33 kcal/mol of atoms
1.0
-1.9216 3.6142 5.7615
1.9216 -3.6142 5.7615
1.9216 3.6142 -5.7615
Ni Pd Pt
6 5 1
Direct
0.0834 0.3342 0.7491 Ni
0.2482 0.0000 0.2482 Ni
0.4149 0.6658 0.7491 Ni
0.5851 0.3342 0.2509 Ni
0.7518 0.0000 0.7518 Ni
0.9166 0.6658 0.2509 Ni
0.1676 0.1676 0.0000 Pd
0.3339 0.8339 0.5000 Pd
0.5000 0.5000 0.0000 Pd
0.6661 0.1661 0.5000 Pd
0.8324 0.8324 0.0000 Pd
0.0000 0.5000 0.5000 Pt



4.
PBE Ni5PdPt2, relaxed; DFT formation energy = 3.05 kcal/mol of atoms
1.0
2.1399 -3.9535 0.0000
2.1399 3.9535 0.0000
0.0000 0.0000 12.8594
Ni Pd Pt
10 2 4
Direct
0.0394 0.9606 0.7500 Ni
0.0852 0.9148 0.0750 Ni
0.0852 0.9148 0.4250 Ni
0.4200 0.5800 0.0763 Ni
0.4200 0.5800 0.4237 Ni
0.5800 0.4200 0.5763 Ni
0.5800 0.4200 0.9237 Ni
0.9148 0.0852 0.5750 Ni
0.9148 0.0852 0.9250 Ni
0.9606 0.0394 0.2500 Ni
0.2711 0.7289 0.2500 Pd
0.7289 0.2711 0.7500 Pd
0.2539 0.7461 0.6054 Pt
0.2539 0.7461 0.8946 Pt
0.7461 0.2539 0.1054 Pt
0.7461 0.2539 0.3946 Pt



5.
PBE NiPd6Pt12, relaxed; DFT formation energy = -0.71 kcal/mol of atoms
1.0
6.0902 3.5162 2.2783
-6.0902 3.5162 2.2783
0.0000 -7.0324 2.2783
Ni Pd Pt
1 6 12
Direct
0.0000 0.0000 0.0000 Ni
0.2101 0.3150 0.4708 Pd
0.3150 0.4708 0.2101 Pd
0.4708 0.2101 0.3150 Pd
0.5292 0.7899 0.6850 Pd
0.6850 0.5292 0.7899 Pd
0.7899 0.6850 0.5292 Pd
0.0481 0.5753 0.3637 Pt
0.1059 0.1561 0.7415 Pt
0.1561 0.7415 0.1059 Pt
0.2585 0.8941 0.8439 Pt
0.3637 0.0481 0.5753 Pt
0.4247 0.6363 0.9519 Pt
0.5753 0.3637 0.0481 Pt
0.6363 0.9519 0.4247 Pt
0.7415 0.1059 0.1561 Pt
0.8439 0.2585 0.8941 Pt
0.8941 0.8439 0.2585 Pt
0.9519 0.4247 0.6363 Pt



6.
PBE Ni2Pd3Pt4, relaxed; DFT formation energy = 0.50 kcal/mol of atoms
1.0
2.7323 0.0000 0.0000
-1.3569 6.7052 0.0000
-0.0050 -1.1384 7.3233
Ni Pd Pt
2 3 4
Direct
0.1611 0.3276 0.4186 Ni
0.8389 0.6724 0.5814 Ni
0.3408 0.6816 0.9048 Pd
0.5000 0.0000 0.5000 Pd
0.6592 0.3184 0.0952 Pd
0.0115 0.0238 0.8243 Pt
0.3251 0.6466 0.2746 Pt
0.6749 0.3534 0.7254 Pt
0.9885 0.9762 0.1757 Pt



7.
PBE Ni6PdPt5, relaxed; DFT formation energy = -1.78 kcal/mol of atoms
1.0
-1.9256 3.6262 5.7678
1.9256 -3.6262 5.7678
1.9256 3.6262 -5.7678
Ni Pd Pt
6 1 5
Direct
0.0825 0.3328 0.7497 Ni
0.2495 0.0000 0.2495 Ni
0.4169 0.6672 0.7497 Ni
0.5831 0.3328 0.2503 Ni
0.7505 0.0000 0.7505 Ni
0.9175 0.6672 0.2503 Ni
0.5000 0.5000 0.0000 Pd
0.0000 0.5000 0.5000 Pt
0.1670 0.1670 0.0000 Pt
0.3339 0.8339 0.5000 Pt
0.6661 0.1661 0.5000 Pt
0.8330 0.8330 0.0000 Pt



8.
PBE Ni6Pd8Pt, relaxed; DFT formation energy = 3.14 kcal/mol of atoms
1.0
3.4342 1.9827 5.2836
-3.4342 1.9827 5.2836
0.0000 -3.9655 5.2836
Ni Pd Pt
6 8 1
Direct
0.0644 0.7859 0.5395 Ni
0.2141 0.4605 0.9356 Ni
0.4605 0.9356 0.2141 Ni
0.5395 0.0644 0.7859 Ni
0.7859 0.5395 0.0644 Ni
0.9356 0.2141 0.4605 Ni
0.0892 0.0892 0.0892 Pd
0.1502 0.3262 0.6245 Pd
0.3262 0.6245 0.1502 Pd
0.3755 0.8498 0.6738 Pd
0.6245 0.1502 0.3262 Pd
0.6738 0.3755 0.8498 Pd
0.8498 0.6738 0.3755 Pd
0.9108 0.9108 0.9108 Pd
0.5000 0.5000 0.5000 Pt